First-principles (GGA-PBE) data for an optimized crystal structure of TlCdIrO2, as listed in Alexandria via LeMat-Bulk.

```
data_TlCdIrO2
_cell_length_a 3.913
_cell_length_b 3.913
_cell_length_c 6.110
_cell_angle_alpha 90.00
_cell_angle_beta 90.00
_cell_angle_gamma 90.00
_space_group_name_H-M_alt 'P 4/m m m'
_space_group_IT_number 123
_space_group_name_Hall '-P 4 2'
loop_
_atom_site_label
_atom_site_type_symbol
_atom_site_fract_x
_atom_site_fract_y
_atom_site_fract_z
_atom_site_occupancy
Tl1 Tl 0.000 0.000 0.000 1
Cd1 Cd 0.500 0.500 0.000 1
Ir1 Ir 0.000 0.000 0.500 1
O1 O 0.000 0.500 0.500 1
```

raw total energy = -22.680 eV/cell
uncorrected formation energy = -0.124 eV/atom
crystal system = tetragonal
theoretical density = 9605 kg/m3